{"formula": "Ac3Zn4Cd7", "functional": "PBE", "state": "optimized geometry", "rho_g_cm3": 8.26, "dft_energy_ry_per_atom": -0.1453, "formation_energy_ev_per_atom": -0.275, "magnetic_moment_mub_per_atom": 0.000, "cell": [[8.728, -2.448, 0.000], [8.728, 2.448, 0.000], [-5.354, 0.000, 8.131]], "species": ["Ac", "Ac", "Ac", "Zn", "Zn", "Zn", "Zn", "Cd", "Cd", "Cd", "Cd", "Cd", "Cd", "Cd"], "frac_coords": [[0.000, 0.000, 0.000], [0.298, 0.298, 0.290], [0.702, 0.702, 0.710], [0.140, 0.140, 0.861], [0.339, 0.339, 0.701], [0.661, 0.661, 0.299], [0.860, 0.860, 0.139], [0.000, 0.000, 0.500], [0.148, 0.148, 0.424], [0.340, 0.340, 0.980], [0.495, 0.495, 0.687], [0.505, 0.505, 0.313], [0.660, 0.660, 0.020], [0.852, 0.852, 0.576]]}

{"formula": "Ac3Zn9Cd2", "functional": "PBE", "state": "optimized geometry", "rho_g_cm3": 8.00, "dft_energy_ry_per_atom": -0.1546, "formation_energy_ev_per_atom": -0.273, "magnetic_moment_mub_per_atom": 0.000, "cell": [[-2.354, 4.621, 7.130], [2.354, -4.621, 7.130], [2.354, 4.621, -7.130]], "species": ["Ac", "Ac", "Ac", "Zn", "Zn", "Zn", "Zn", "Zn", "Zn", "Zn", "Zn", "Zn", "Cd", "Cd"], "frac_coords": [[0.000, 0.000, 0.000], [0.294, 0.294, 0.000], [0.706, 0.706, 0.000], [0.021, 0.661, 0.360], [0.137, 0.858, 0.279], [0.301, 0.661, 0.640], [0.421, 0.142, 0.279], [0.500, 0.000, 0.500], [0.579, 0.858, 0.721], [0.699, 0.339, 0.360], [0.863, 0.142, 0.721], [0.979, 0.339, 0.640], [0.313, 0.500, 0.813], [0.687, 0.500, 0.187]]}

{"formula": "Ac8Zn2Cd", "functional": "PBE", "state": "optimized geometry", "rho_g_cm3": 8.25, "dft_energy_ry_per_atom": -0.2492, "formation_energy_ev_per_atom": -0.087, "magnetic_moment_mub_per_atom": 0.000, "cell": [[9.951, -2.792, 0.000], [9.951, 2.792, 0.000], [-2.304, 0.000, 7.462]], "species": ["Ac", "Ac", "Ac", "Ac", "Ac", "Ac", "Ac", "Ac", "Zn", "Zn", "Cd"], "frac_coords": [[0.031, 0.031, 0.269], [0.197, 0.197, 0.821], [0.328, 0.328, 0.525], [0.409, 0.409, 0.035], [0.591, 0.591, 0.965], [0.672, 0.672, 0.475], [0.803, 0.803, 0.179], [0.969, 0.969, 0.731], [0.184, 0.184, 0.214], [0.816, 0.816, 0.786], [0.500, 0.500, 0.500]]}

{"formula": "Ac3Zn8Cd3", "functional": "PBE", "state": "optimized geometry", "rho_g_cm3": 8.07, "dft_energy_ry_per_atom": -0.1538, "formation_energy_ev_per_atom": -0.289, "magnetic_moment_mub_per_atom": 0.000, "cell": [[-2.363, 4.674, 7.184], [2.363, -4.674, 7.184], [2.363, 4.674, -7.184]], "species": ["Ac", "Ac", "Ac", "Zn", "Zn", "Zn", "Zn", "Zn", "Zn", "Zn", "Zn", "Cd", "Cd", "Cd"], "frac_coords": [[0.000, 0.000, 0.000], [0.298, 0.298, 0.000], [0.702, 0.702, 0.000], [0.026, 0.663, 0.362], [0.123, 0.852, 0.271], [0.301, 0.663, 0.638], [0.419, 0.148, 0.271], [0.581, 0.852, 0.729], [0.699, 0.337, 0.362], [0.877, 0.148, 0.729], [0.974, 0.337, 0.638], [0.298, 0.500, 0.798], [0.500, 0.000, 0.500], [0.702, 0.500, 0.202]]}

{"formula": "Ac4ZnCd2", "functional": "PBE", "state": "optimized geometry", "rho_g_cm3": 7.79, "dft_energy_ry_per_atom": -0.2164, "formation_energy_ev_per_atom": -0.153, "magnetic_moment_mub_per_atom": 0.000, "cell": [[7.991, 0.000, 0.000], [0.000, 7.991, 0.000], [0.000, 0.000, 7.996]], "species": ["Ac", "Ac", "Ac", "Ac", "Ac", "Ac", "Ac", "Ac", "Zn", "Zn", "Cd", "Cd", "Cd", "Cd"], "frac_coords": [[0.250, 0.250, 0.250], [0.250, 0.250, 0.750], [0.250, 0.750, 0.250], [0.250, 0.750, 0.750], [0.750, 0.250, 0.250], [0.750, 0.250, 0.750], [0.750, 0.750, 0.250], [0.750, 0.750, 0.750], [0.000, 0.000, 0.000], [0.500, 0.500, 0.500], [0.000, 0.500, 0.000], [0.000, 0.500, 0.500], [0.500, 0.000, 0.000], [0.500, 0.000, 0.500]]}

{"formula": "Ac3Zn2Cd4", "functional": "PBE", "state": "optimized geometry", "rho_g_cm3": 8.20, "dft_energy_ry_per_atom": -0.1735, "formation_energy_ev_per_atom": -0.301, "magnetic_moment_mub_per_atom": 0.000, "cell": [[5.818, -2.530, 0.000], [5.818, 2.530, 0.000], [-3.951, 0.000, 8.682]], "species": ["Ac", "Ac", "Ac", "Zn", "Zn", "Cd", "Cd", "Cd", "Cd"], "frac_coords": [[0.000, 0.000, 0.000], [0.331, 0.331, 0.339], [0.669, 0.669, 0.661], [0.395, 0.395, 0.726], [0.605, 0.605, 0.274], [0.050, 0.050, 0.379], [0.278, 0.278, 0.939], [0.722, 0.722, 0.061], [0.950, 0.950, 0.621]]}

{"formula": "Ac6Zn3Cd", "functional": "PBE", "state": "optimized geometry", "rho_g_cm3": 8.08, "dft_energy_ry_per_atom": -0.2265, "formation_energy_ev_per_atom": -0.144, "magnetic_moment_mub_per_atom": 0.000, "cell": [[10.344, 0.000, 0.000], [0.000, 5.393, 0.000], [-3.812, 0.000, 12.305]], "species": ["Ac", "Ac", "Ac", "Ac", "Ac", "Ac", "Ac", "Ac", "Ac", "Ac", "Ac", "Ac", "Zn", "Zn", "Zn", "Zn", "Zn", "Zn", "Cd", "Cd"], "frac_coords": [[0.011, 0.250, 0.120], [0.131, 0.250, 0.696], [0.218, 0.750, 0.512], [0.343, 0.750, 0.112], [0.362, 0.250, 0.353], [0.389, 0.750, 0.851], [0.611, 0.250, 0.149], [0.638, 0.750, 0.647], [0.657, 0.250, 0.888], [0.782, 0.250, 0.488], [0.869, 0.750, 0.304], [0.989, 0.750, 0.880], [0.051, 0.250, 0.396], [0.152, 0.750, 0.256], [0.270, 0.250, 0.963], [0.730, 0.750, 0.037], [0.848, 0.250, 0.744], [0.949, 0.750, 0.604], [0.427, 0.250, 0.638], [0.573, 0.750, 0.362]]}

{"formula": "Ac2Zn3Cd5", "functional": "PBE", "state": "optimized geometry", "rho_g_cm3": 8.06, "dft_energy_ry_per_atom": -0.1414, "formation_energy_ev_per_atom": -0.262, "magnetic_moment_mub_per_atom": 0.000, "cell": [[4.578, 0.000, 0.000], [0.000, 4.578, 0.000], [0.000, 0.000, 11.919]], "species": ["Ac", "Ac", "Zn", "Zn", "Zn", "Cd", "Cd", "Cd", "Cd", "Cd"], "frac_coords": [[0.000, 0.500, 0.225], [0.500, 0.000, 0.775], [0.000, 0.000, 0.000], [0.000, 0.500, 0.881], [0.500, 0.000, 0.119], [0.000, 0.000, 0.500], [0.000, 0.500, 0.655], [0.500, 0.000, 0.345], [0.500, 0.500, 0.000], [0.500, 0.500, 0.500]]}